(1)
This record from Alexandria via LeMat-Bulk describes a relaxed structure of K2Ge2S5. The functional is GGA-PBE.

Output
- energy above the lowest structure with this stoichiometry (kcal/mol of atoms) = 5.67

Cell: 5.1078 6.8377 7.7674 Å, 99.01 90.00 111.93°
With the nearest neighbours (Å) after each atom.
Fractional positions:
K 0.4052 0.8105 0.6796  6 S 3.33-3.63, 1 Ge 3.73
K 0.5948 0.1895 0.3204  6 S 3.33-3.63, 1 Ge 3.73
Ge 0.1588 0.3177 0.8820  3 S 2.13-2.35
Ge 0.8412 0.6823 0.1180  3 S 2.13-2.35
S 0.3175 0.6349 0.0608  1 Ge 2.24
S 0.6825 0.3651 0.9392  1 Ge 2.24
S 0.1384 0.2769 0.6036  1 Ge 2.13
S 0.8616 0.7231 0.3964  1 Ge 2.13
S 0.0000 0.0000 0.0000  2 Ge 2.35

---

(2)
This record from Alexandria via LeMat-Bulk describes a relaxed structure of KGeSbS3. The functional is GGA-PBE.

Cell: 3.9043 8.1999 11.1721 Å, 107.63 90.00 90.00°
With the nearest neighbours (Å) after each atom.
Fractional positions:
K 0.2500 0.2426 0.2835  5 S 3.24-3.29, 1 Ge 3.56
K 0.7500 0.7574 0.7165  5 S 3.24-3.29, 1 Ge 3.56
Ge 0.2500 0.1290 0.5665  3 S 2.30-2.55
Ge 0.7500 0.8710 0.4335  3 S 2.30-2.55
Sb 0.2500 0.6440 0.1560  6 S 2.66-2.96
Sb 0.7500 0.3560 0.8440  6 S 2.66-2.96
S 0.7500 0.9148 0.2398  1 Ge 2.30
S 0.2500 0.0852 0.7602  1 Ge 2.30
S 0.2500 0.6619 0.3974  2 Ge 2.55, 1 Sb 2.66
S 0.7500 0.3381 0.6026  2 Ge 2.55, 1 Sb 2.66
S 0.7500 0.4123 0.1184  3 Sb 2.67-2.96
S 0.2500 0.5877 0.8816  3 Sb 2.67-2.96

---

(3)
This record from Alexandria via LeMat-Bulk describes a relaxed structure of KScGe2S6. The functional is GGA-PBE.

Cell: 6.4512 8.7916 8.7916 Å, 93.25 85.54 85.54°
With the nearest neighbours (Å) after each atom.
Fractional positions:
K 0.2500 0.9049 0.0951  6 S 3.05-3.08
K 0.7500 0.0951 0.9049  6 S 3.05-3.08
Sc 0.2500 0.2824 0.7176  4 S 2.48-2.65
Sc 0.7500 0.7176 0.2824  4 S 2.48-2.65
Ge 0.2339 0.7827 0.6144  4 S 2.17-2.36
Ge 0.2661 0.3856 0.2173  4 S 2.17-2.36
Ge 0.7661 0.2173 0.3856  4 S 2.17-2.36
Ge 0.7339 0.6144 0.7827  4 S 2.17-2.36
S 0.1960 0.9932 0.7677  1 Ge 2.21
S 0.3040 0.2323 0.0068  1 Ge 2.21
S 0.8040 0.0068 0.2323  1 Ge 2.21
S 0.6960 0.7677 0.9932  1 Ge 2.21
S 0.4062 0.8282 0.4028  1 Ge 2.17
S 0.0938 0.5972 0.1718  1 Ge 2.17
S 0.5938 0.1718 0.5972  1 Ge 2.17
S 0.9062 0.4028 0.8282  1 Ge 2.17
S 0.8890 0.7287 0.5754  2 Ge 2.33-2.36
S 0.6110 0.4246 0.2713  2 Ge 2.33-2.36
S 0.1110 0.2713 0.4246  2 Ge 2.33-2.36
S 0.3890 0.5754 0.7287  2 Ge 2.33-2.36

---

no.,formation energy (no corrections) (eV per atom)
1,-0.532
2,-0.544
3,-0.761